First-principles (PBE with a Hubbard U) data for a relaxed Sr4Mn2Cu3S4O4 crystal, as listed in Alexandria via LeMat-Bulk.

Output
* VASP energy: -97.86 eV per formula unit
* space group: C222, No. 21
* M_tot: 0.53 μB per atom

Lattice parameters (Å, degrees): 5.723 5.722 9.086 71.65 90.00 90.00
Site moments in Bohr magnetons follow the coordinates.
Fractional coordinates of all 17 atoms:
S 0.246 0.676 0.156  0.02
Mn 0.248 0.500 0.500  4.27
O 0.000 0.748 0.504  -0.01
Sr 0.748 0.598 0.299  0.00
Cu 0.000 0.000 0.000  0.01
O 0.500 0.250 0.500  -0.01
O 0.000 0.252 0.496  -0.01
Cu 0.500 0.000 0.000  0.01
S 0.754 0.168 0.156  0.02
O 0.500 0.750 0.500  -0.01
S 0.754 0.832 0.844  0.02
Sr 0.252 0.102 0.299  0.00
Sr 0.748 0.402 0.701  0.00
Cu 0.000 0.500 0.000  0.00
S 0.246 0.324 0.844  0.02
Mn 0.752 0.000 0.500  4.27
Sr 0.252 0.898 0.701  0.00